# 1
Compound: AsPtAu2
Source: the Alexandria database
Functional: GGA-PBE
Structure: optimized geometry

Geometry as POSCAR:
```
AsPtAu2
1.0
1.7391 1.0041 7.3109
-1.7391 1.0041 7.3109
0.0000 -2.0082 7.3109
As Pt Au
1 1 2
Cartesian
0.0000 0.0000 0.0000
0.0000 0.0000 16.0674
0.0000 0.0000 5.3145
0.0000 0.0000 10.6644
```

Computed properties:
Theoretical density   14.39 g/cm³
Space group   No. 160
Calculated formation energy   0.006 eV per atom
E   -17.22 eV/cell

# 2
Compound: AsPtAu2
Source: the Alexandria database
Functional: GGA-PBE
Structure: optimized geometry

Geometry as POSCAR:
```
AsPtAu2
1.0
2.9539 0.0000 0.0000
0.0000 4.8121 0.0000
0.0000 0.0000 4.9798
As Pt Au
1 1 2
Cartesian
0.0000 0.0000 0.0000
1.4769 2.4060 0.0000
0.0000 2.4060 2.4899
1.4769 0.0000 2.4899
```

Computed properties:
Theoretical density   15.58 g/cm³
Space group   No. 47
Calculated formation energy   0.110 eV per atom
E   -16.81 eV/cell

# 3
Compound: AsPtAu2
Source: the Alexandria database
Functional: GGA-PBE
Structure: optimized geometry

Geometry as POSCAR:
```
AsPtAu2
1.0
2.7927 0.0000 0.0000
0.0000 3.6081 0.0000
0.0000 0.0000 7.4507
As Pt Au
1 1 2
Cartesian
0.0000 0.0000 0.0000
0.0000 1.8040 1.6831
0.0000 1.8040 5.2791
1.3963 0.0000 3.4671
```

Computed properties:
Theoretical density   14.69 g/cm³
Space group   No. 25
Calculated formation energy   -0.006 eV per atom
E   -17.27 eV/cell

# 4
Compound: AsPt2Au2
Source: the Alexandria database
Functional: GGA-PBE
Structure: optimized geometry

Geometry as POSCAR:
```
AsPt2Au2
1.0
6.6022 0.0000 0.0000
0.0000 6.6022 0.0000
0.0000 0.0000 4.1653
As Pt Au
2 4 4
Cartesian
0.0000 0.0000 0.0000
3.3011 3.3011 0.0000
0.9947 2.3064 0.0000
2.3064 5.6075 0.0000
4.2958 0.9947 0.0000
5.6075 4.2958 0.0000
1.0125 4.3136 2.0826
2.2886 1.0125 2.0826
4.3136 5.5897 2.0826
5.5897 2.2886 2.0826
```

Computed properties:
Theoretical density   15.71 g/cm³
Space group   No. 127
Calculated formation energy   0.057 eV per atom
E   -46.00 eV/cell

# 5
Compound: RbAsPtAu2
Source: the Alexandria database
Functional: GGA-PBE
Structure: optimized geometry

Geometry as POSCAR:
```
RbAsPtAu2
1.0
5.1726 0.0000 0.0000
0.0000 5.1726 0.0000
0.0000 0.0000 4.7883
Rb As Pt Au
1 1 1 2
Cartesian
0.0000 0.0000 0.0000
2.5863 2.5863 2.3942
2.5863 2.5863 0.0000
0.0000 2.5863 2.3942
2.5863 0.0000 2.3942
```

Computed properties:
Theoretical density   9.71 g/cm³
Space group   No. 123
Calculated formation energy   -0.063 eV per atom
E   -18.53 eV/cell

# 6
Compound: AsPtAuSe2
Source: the Alexandria database
Functional: GGA-PBE
Structure: optimized geometry

Geometry as POSCAR:
```
AsPtAuSe2
1.0
5.1275 0.0000 0.0000
0.0000 5.1275 0.0000
0.0000 0.0000 4.6842
As Pt Au Se
1 1 1 2
Cartesian
0.0000 0.0000 0.0000
0.0000 0.0000 2.3421
2.5638 2.5638 0.0000
0.0000 2.5638 2.3421
2.5638 0.0000 2.3421
```

Computed properties:
Theoretical density   8.43 g/cm³
Space group   No. 123
E   -17.62 eV/cell

# 7
Compound: Sr2As4Pt3Au
Source: the Alexandria database
Functional: GGA-PBE
Structure: optimized geometry

Geometry as POSCAR:
```
Sr2As4Pt3Au
1.0
4.5316 0.0000 0.0000
0.0000 4.5316 0.0000
0.0000 0.0000 10.2143
Sr As Pt Au
2 4 3 1
Cartesian
0.0000 2.2658 2.5501
2.2658 0.0000 7.6642
0.0000 0.0000 0.0000
0.0000 2.2658 6.5360
2.2658 0.0000 3.6783
2.2658 2.2658 0.0000
0.0000 2.2658 9.0292
2.2658 0.0000 1.1851
2.2658 2.2658 5.1072
0.0000 0.0000 5.1072
```

Computed properties:
Theoretical density   9.95 g/cm³
Space group   No. 115
Calculated formation energy   -0.733 eV per atom
E   -50.69 eV/cell

# 8
Compound: Sr2As3Pt4Au
Source: the Alexandria database
Functional: GGA-PBE
Structure: optimized geometry

Geometry as POSCAR:
```
Sr2As3Pt4Au
1.0
4.5650 0.0000 0.0000
0.0000 4.5650 0.0000
0.0000 0.0000 10.0380
Sr As Pt Au
2 3 4 1
Cartesian
0.0000 2.2825 2.4674
2.2825 0.0000 7.5706
0.0000 0.0000 0.0000
0.0000 2.2825 6.2270
2.2825 0.0000 3.8110
0.0000 0.0000 5.0190
0.0000 2.2825 8.6604
2.2825 0.0000 1.3776
2.2825 2.2825 5.0190
2.2825 2.2825 0.0000
```

Computed properties:
Theoretical density   10.93 g/cm³
Space group   No. 115
Calculated formation energy   -0.684 eV per atom
E   -51.60 eV/cell

# 9
Compound: Ta2AsPtAu
Source: the Alexandria database
Functional: GGA-PBE
Structure: optimized geometry

Geometry as POSCAR:
```
Ta2AsPtAu
1.0
4.9564 0.0000 0.0000
0.0000 4.9564 0.0000
0.0000 0.0000 4.6767
Ta As Pt Au
2 1 1 1
Cartesian
0.0000 2.4782 0.0000
2.4782 0.0000 0.0000
0.0000 0.0000 2.3384
0.0000 0.0000 0.0000
2.4782 2.4782 2.3384
```

Computed properties:
Theoretical density   11.98 g/cm³
Space group   No. 123
Calculated formation energy   1.186 eV per atom
E   -31.74 eV/cell

# 10
Compound: TlAsPt2Au
Source: the Alexandria database
Functional: GGA-PBE
Structure: optimized geometry

Geometry as POSCAR:
```
TlAsPt2Au
1.0
5.0555 0.0000 0.0000
0.0000 5.0555 0.0000
0.0000 0.0000 5.0917
Tl As Pt Au
1 1 2 1
Cartesian
0.0000 0.0000 0.0000
2.5277 2.5277 2.5458
0.0000 2.5277 0.0000
2.5277 0.0000 0.0000
0.0000 0.0000 2.5458
```

Computed properties:
Theoretical density   11.06 g/cm³
Space group   No. 123
Calculated formation energy   1.279 eV per atom
E   -15.98 eV/cell

# 11
Compound: AsPt2WAu
Source: the Alexandria database
Functional: GGA-PBE
Structure: optimized geometry

Geometry as POSCAR:
```
AsPt2WAu
1.0
4.9814 0.0000 0.0000
0.0000 4.9814 0.0000
0.0000 0.0000 4.5958
As Pt W Au
1 2 1 1
Cartesian
0.0000 0.0000 0.0000
0.0000 2.4907 2.2979
2.4907 0.0000 2.2979
2.4907 2.4907 0.0000
0.0000 0.0000 2.2979
```

Computed properties:
Theoretical density   12.32 g/cm³
Space group   No. 123
Calculated formation energy   1.768 eV per atom
E   -24.12 eV/cell

# 12
Compound: YAsPt2Au
Source: the Alexandria database
Functional: GGA-PBE
Structure: optimized geometry

Geometry as POSCAR:
```
YAsPt2Au
1.0
5.0810 0.0000 0.0000
0.0000 5.0810 0.0000
0.0000 0.0000 5.3575
Y As Pt Au
1 1 2 1
Cartesian
0.0000 0.0000 0.0000
0.0000 0.0000 2.6788
0.0000 2.5405 0.0000
2.5405 0.0000 0.0000
2.5405 2.5405 2.6788
```

Computed properties:
Theoretical density   9.02 g/cm³
Space group   No. 123
Calculated formation energy   0.968 eV per atom
E   -21.63 eV/cell

- What is the E in the eleventh record?
  -24.12 eV/cell